1.
Computed, not measured: a relaxed structure of PuZnGaSn at the GGA-PBE level of DFT.

**Symmetry**: Pmmm, No. 47
**Calculated formation energy**: -0.269 eV per atom

```
PuZnGaSn
1.0
-1.5845 3.9800 -0.8622
-2.9227 -1.7568 -2.7385
-2.9181 -0.4276 3.3887
Pu Zn Ga Sn
1 1 1 1
Cartesian
-2.9204 -1.0922 0.3251
-2.2536 1.1116 -1.8004
-2.2513 1.7762 1.2632
0.0000 0.0000 0.0000
```

=====

2.
Computed, not measured: a relaxed structure of AsSe2 at the GGA-PBE level of DFT.

**Formation energy (no corrections)**: 0.6 kJ per mole of atoms
**Symmetry**: C2/m, No. 12

```
AsSe2
1.0
3.8213 0.0000 0.0000
0.0000 5.6017 0.5346
-1.9107 0.3722 10.4994
As Se
3 6
Cartesian
0.0000 2.8008 0.2673
0.0000 5.5248 7.3324
1.9107 0.4491 3.7016
1.9107 3.8083 8.1828
0.0000 2.1656 2.8513
1.9107 1.6196 5.8711
1.9107 4.5987 1.2014
0.0000 1.3752 9.8326
0.0000 4.3543 5.1630
```

=====

3.
Computed, not measured: a relaxed structure of GdYCd2 at the GGA-PBE level of DFT.

**Symmetry**: P4/mmm, No. 123
**Calculated formation energy**: -0.351 eV per atom

```
GdYCd2
1.0
3.7777 0.0000 0.0000
0.0000 5.3064 0.0000
0.0000 0.0000 5.3064
Y Gd Cd
1 1 2
Cartesian
1.8888 0.0000 0.0000
1.8888 2.6532 2.6532
0.0000 0.0000 2.6532
0.0000 2.6532 0.0000
```

=====

4.
Computed, not measured: a relaxed structure of Cs3AgB2S6 at the GGA-PBE level of DFT.

**Formation energy (no corrections)**: -56.6 kJ per mole of atoms
**Symmetry**: P-3m1, No. 164

```
Cs3AgB2S6
1.0
7.0772 0.0000 0.0000
-3.5386 6.1291 0.0000
0.0000 0.0000 9.2490
Cs Ag B S
3 1 2 6
Cartesian
0.0000 4.0860 6.1318
3.5386 2.0430 3.1173
0.0000 0.0000 0.0000
0.0000 0.0000 4.6245
3.5386 2.0430 6.4652
0.0000 4.0860 2.7838
1.5687 4.9917 2.7648
0.0000 2.2747 2.7648
-1.5687 4.9917 2.7648
3.5386 3.8544 6.4842
1.9699 1.1373 6.4842
5.1073 1.1373 6.4842
```

=====

5.
Computed, not measured: a relaxed structure of Tb2GaGe3Ir4 at the GGA-PBE level of DFT.

**Symmetry**: P-4m2, No. 115
**Calculated formation energy**: -0.768 eV per atom

```
Tb2GaGe3Ir4
1.0
4.2026 0.0000 0.0000
0.0000 4.2026 0.0000
0.0000 0.0000 10.2858
Tb Ga Ge Ir
2 1 3 4
Cartesian
2.1013 0.0000 2.5727
0.0000 2.1013 7.7131
2.1013 2.1013 5.1429
0.0000 0.0000 5.1429
2.1013 0.0000 8.9304
0.0000 2.1013 1.3554
2.1013 2.1013 0.0000
0.0000 0.0000 0.0000
2.1013 0.0000 6.5156
0.0000 2.1013 3.7701
```

=====

6.
Computed, not measured: a relaxed structure of BaHgIr2 at the GGA-PBE level of DFT.

**Symmetry**: Pm, No. 6
**Calculated formation energy**: 0.186 eV per atom

```
BaHgIr2
1.0
-1.7966 3.5579 0.9034
-2.4215 -0.8094 -1.6277
-4.3737 -3.5669 5.3501
Ir Hg Ba
2 1 1
Cartesian
-2.2841 -0.9147 -0.9398
-2.2101 1.0090 0.8752
-6.5221 -1.7793 3.2819
-3.3945 -2.1309 1.6421
```

=====

7.
Computed, not measured: a relaxed structure of FeSnCl3 at the GGA-PBE level of DFT.

**Formation energy (no corrections)**: -36.2 kJ per mole of atoms
**Symmetry**: Pm-3m, No. 221

```
FeSnCl3
1.0
4.8336 0.0000 0.0000
0.0000 4.8336 0.0000
0.0000 0.0000 4.8336
Cl Fe Sn
3 1 1
Cartesian
0.0000 2.4168 0.0000
0.0000 0.0000 2.4168
2.4168 0.0000 0.0000
0.0000 0.0000 0.0000
2.4168 2.4168 2.4168
```

=====

8.
Computed, not measured: a relaxed structure of PmB2Pd6 at the GGA-PBE level of DFT.

**Symmetry**: P6/mmm, No. 191
**Calculated formation energy**: -0.490 eV per atom

```
PmB2Pd6
1.0
5.6116 0.0000 0.0000
-2.8058 4.8598 0.0000
0.0000 0.0000 5.5230
Pm B Pd
1 2 6
Cartesian
0.0000 0.0000 0.0000
0.0000 3.2398 2.7615
2.8058 1.6199 2.7615
2.8063 0.0000 1.3691
1.4027 2.4295 1.3691
-1.4031 2.4303 1.3691
1.4031 2.4303 4.1539
-1.4027 2.4295 4.1539
2.8053 0.0000 4.1539
```

=====

9.
Computed, not measured: a relaxed structure of V5FeGe5 at the GGA-PBE level of DFT.

**Symmetry**: C2/m, No. 12
**Calculated formation energy**: 0.042 eV per atom

```
V5FeGe5
1.0
4.4445 0.0000 0.0000
-2.2222 4.5857 0.1783
0.0000 -1.0822 8.2080
V Fe Ge
5 1 5
Cartesian
2.2222 1.4575 3.6417
2.2222 -0.2025 5.5779
0.0000 -0.5411 4.1040
0.0000 3.7059 2.8084
0.0000 2.0460 4.7445
0.0000 0.0000 0.0000
2.2222 2.8256 1.6429
2.2222 2.3827 6.2216
2.2222 0.0000 0.0000
0.0000 1.1207 2.1646
0.0000 0.6779 6.7433
```

=====

10.
Computed, not measured: a relaxed structure of Pr2Ho12Sc at the GGA-PBE level of DFT.

**Symmetry**: Pmmm, No. 47
**Calculated formation energy**: 0.166 eV per atom

```
Pr2Ho12Sc
1.0
-6.4445 0.5283 1.4672
3.8244 -2.7479 4.6675
4.0359 22.1710 9.7464
Pr Ho Sc
4 24 2
Cartesian
-2.1534 6.1355 3.3147
2.9816 4.5005 4.9162
-1.5651 15.4539 10.9663
3.5687 13.8127 12.5651
1.9404 16.7462 10.9170
3.2505 17.8561 7.8496
1.7764 18.8887 13.6364
4.8086 17.5809 12.4441
1.3145 7.2208 3.1743
1.7416 0.7323 5.0372
-1.5145 12.6928 7.9772
0.0044 6.1110 6.2417
3.0865 19.9985 10.5690
-1.6706 -0.0472 5.3121
1.6119 11.9205 7.0162
-2.2041 8.8966 6.3038
0.1014 12.7305 12.7069
1.1140 9.1407 5.7976
-0.3606 1.0626 2.2448
-0.2037 8.0333 8.8626
0.3095 10.8082 10.0860
-1.8346 2.0952 8.0316
3.6216 11.0561 9.5734
1.4114 13.8403 9.6395
-0.3257 19.2190 10.8438
-0.5246 3.2051 4.9642
2.9286 7.2571 7.9079
-3.3928 2.3704 3.4372
-3.2222 0.2642 0.7336
5.9481 20.7970 12.0802
```

=====

11.
Computed, not measured: a relaxed structure of TcHg2As at the GGA-PBE level of DFT.

**Symmetry**: I-4m2, No. 119
**Calculated formation energy**: 0.609 eV per atom

```
TcHg2As
1.0
5.2756 0.0102 0.0000
1.9056 4.9194 0.0000
-3.5906 -2.4648 2.9773
As Hg Tc
1 2 1
Cartesian
2.6378 0.0051 1.4886
0.0000 0.0000 0.0000
0.9528 2.4597 1.4886
3.5906 2.4648 0.0000
```

=====

12.
Computed, not measured: a relaxed structure of AsOsW at the GGA-PBE level of DFT.

**Symmetry**: F-43m, No. 216
**Calculated formation energy**: 0.234 eV per atom

```
AsOsW
1.0
-1.4728 0.9501 -3.8372
-3.6867 -1.5880 -1.2970
-3.3570 2.5221 -0.4059
As Os W
1 1 1
Cartesian
-4.2582 0.9421 -2.7700
-6.3874 1.4132 -4.1550
0.0000 0.0000 0.0000
```

=====

13.
Computed, not measured: a relaxed structure of NdHo2In at the GGA-PBE level of DFT.

**Symmetry**: R-3m, No. 166
**Calculated formation energy**: 0.052 eV per atom

```
NdHo2In
1.0
3.4887 0.0000 0.0000
1.7444 3.0213 0.0000
1.7444 1.0071 11.9253
Nd Ho In
1 2 1
Cartesian
0.0000 0.0000 0.0000
1.7444 1.0071 8.4736
5.2331 3.0213 3.4517
3.4887 2.0142 5.9626
```

=====

Number 1: DOS at the Fermi energy 10.926 states/eV/cell. Number 2: DOS at the Fermi energy 5.648 states/eV/cell. Number 3: DOS at the Fermi energy 4.941 states/eV/cell. Number 4: DOS at the Fermi energy 5.107 states/eV/cell. Number 5: DOS at the Fermi energy 6.384 states/eV/cell. Number 6: DOS at the Fermi energy 3.039 states/eV/cell. Number 7: DOS at the Fermi energy 7.746 states/eV/cell. Number 8: DOS at the Fermi energy 2.922 states/eV/cell. Number 9: DOS at the Fermi energy 8.276 states/eV/cell. Number 10: DOS at the Fermi energy 47.406 states/eV/cell. Number 11: DOS at the Fermi energy 2.030 states/eV/cell. Number 12: DOS at the Fermi energy 1.937 states/eV/cell. Number 13: DOS at the Fermi energy 6.815 states/eV/cell.